[1]
DFT (PBE) results for crystalline Pb3S2Br at its relaxed geometry.

a = 4.0434 Å, b = 7.1258 Å, c = 8.3999 Å
α = 115.10°, β = 103.93°, γ = 90.00°
Sites, in units of the cell vectors:
Pb  0.0000  0.8700  0.0000
Pb  0.3457  0.3950  0.6915
Pb  0.6543  0.7036  0.3085
S  0.8010  0.5917  0.6020
S  0.1990  0.9897  0.3980
Br  0.5000  0.1929  0.0000

## Properties
* SG: No. 44
* M_tot: 0.00 μB/cell
* relative energy among the computed polymorphs: 0.0000 eV per atom

=====

[2]
DFT (PBE) results for crystalline LiSmGdSc at its relaxed geometry.

a = 5.3921 Å, b = 5.3921 Å, c = 5.3921 Å
α = 60.00°, β = 60.00°, γ = 60.00°
Sites, in units of the cell vectors:
Sc  0.5000  0.5000  0.5000
Gd  0.7500  0.7500  0.7500
Sm  0.2500  0.2500  0.2500
Li  0.0000  0.0000  0.0000

## Properties
* E_form: 0.59 eV per formula unit
* SG: No. 216
* M_tot: 7.17 μB/cell

=====

[3]
DFT (PBE) results for crystalline Pm3SnS2 at its relaxed geometry.

a = 4.2000 Å, b = 5.9720 Å, c = 7.2682 Å
α = 114.26°, β = 106.76°, γ = 90.00°
Sites, in units of the cell vectors:
Pm  0.5000  0.5000  0.0000
Pm  0.1799  0.1798  0.3597
Pm  0.8201  0.8202  0.6403
Sn  0.5000  0.0000  0.0000
S  0.1632  0.6630  0.3260
S  0.8368  0.3370  0.6740

## Properties
* SG: No. 71
* M_tot: 0.00 μB/cell
* relative energy among the computed polymorphs: 0.0000 eV per atom

=====

[4]
DFT (PBE) results for crystalline UCoNi2 at its relaxed geometry.

a = 3.6916 Å, b = 3.6925 Å, c = 4.8025 Å
α = 112.61°, β = 112.60°, γ = 90.00°
Sites, in units of the cell vectors:
U  0.0000  0.0000  0.0000
Co  0.5000  0.5000  0.0000
Ni  0.2499  0.7499  0.4999
Ni  0.7501  0.2501  0.5001

## Properties
* E_form: -0.78 eV per formula unit
* SG: No. 139
* M_tot: 0.42 μB/cell
* relative energy among the computed polymorphs: 0.0000 eV per atom

=====

[5]
DFT (PBE) results for crystalline ErSc4In at its relaxed geometry.

a = 5.6695 Å, b = 5.6695 Å, c = 11.0256 Å
α = 103.69°, β = 103.69°, γ = 60.28°
Sites, in units of the cell vectors:
Er  0.5000  0.0000  0.5000
Er  0.0000  0.5000  0.0000
Sc  0.2554  0.4173  0.7495
Sc  0.1651  0.6712  0.4976
Sc  0.8349  0.3288  0.5024
Sc  0.4173  0.2554  0.2495
Sc  0.5827  0.7446  0.7505
Sc  0.3288  0.8349  0.0024
Sc  0.6712  0.1651  0.9976
Sc  0.7446  0.5827  0.2505
In  0.0755  0.9245  0.2500
In  0.9245  0.0755  0.7500

## Properties
* E_form: -0.65 eV per formula unit
* SG: No. 15
* M_tot: 0.00 μB/cell
* relative energy among the computed polymorphs: 0.0577 eV per atom

=====

[6]
DFT (PBE) results for crystalline Pr3Ho4Tm at its relaxed geometry.

a = 6.3023 Å, b = 7.3260 Å, c = 11.4841 Å
α = 90.00°, β = 90.00°, γ = 90.00°
Sites, in units of the cell vectors:
Pr  0.7731  0.6278  0.0000
Pr  0.1079  0.6274  0.2511
Pr  0.6079  0.3726  0.2489
Pr  0.2731  0.3722  0.5000
Pr  0.6079  0.3726  0.7511
Pr  0.1079  0.6274  0.7489
Ho  0.2723  0.8783  0.0000
Ho  0.2691  0.3688  0.0000
Ho  0.1061  0.1207  0.2478
Ho  0.6061  0.8793  0.2522
Ho  0.7691  0.6312  0.5000
Ho  0.7723  0.1217  0.5000
Ho  0.6061  0.8793  0.7478
Ho  0.1061  0.1207  0.7522
Tm  0.7728  0.1198  0.0000
Tm  0.2728  0.8802  0.5000

## Properties
* E_form: 0.20 eV per formula unit
* SG: No. 31
* M_tot: 0.00 μB/cell
* relative energy among the computed polymorphs: 0.0000 eV per atom

=====

[7]
DFT (PBE) results for crystalline Zr4Zn2Hg5 at its relaxed geometry.

a = 3.1329 Å, b = 7.5590 Å, c = 9.6560 Å
α = 94.02°, β = 90.00°, γ = 90.00°
Sites, in units of the cell vectors:
Zr  0.5000  0.7337  0.5537
Zr  0.5000  0.1582  0.8782
Zr  0.5000  0.2663  0.4463
Zr  0.5000  0.8418  0.1218
Zn  0.0000  0.0556  0.6290
Zn  0.0000  0.9444  0.3710
Hg  0.0000  0.5678  0.3058
Hg  0.0000  0.1836  0.1637
Hg  0.0000  0.5000  0.0000
Hg  0.0000  0.8164  0.8363
Hg  0.0000  0.4322  0.6942

## Properties
* E_form: -1.46 eV per formula unit
* SG: No. 10
* M_tot: 0.00 μB/cell

=====

[8]
DFT (PBE) results for crystalline CuTcAs2 at its relaxed geometry.

a = 2.9692 Å, b = 2.9692 Å, c = 8.1949 Å
α = 90.00°, β = 90.00°, γ = 116.95°
Sites, in units of the cell vectors:
As  0.0000  0.0000  0.9941
As  0.0000  0.0000  0.5059
Cu  0.5000  0.5000  0.2500
Tc  0.5000  0.5000  0.7500

## Properties
* E_form: 1.37 eV per formula unit
* SG: No. 65
* M_tot: 0.00 μB/cell
* relative energy among the computed polymorphs: 0.3273 eV per atom